# 1
AgAs2OsBr | PBE | optimized geometry

Values from the calculation:
Crystal system: tetragonal
Energy above the most stable polymorph in this dataset, eV/atom: 0.000

Cell: 4.696 4.696 5.617 Å, 90.00 90.00 90.00°
Atoms (fractional coordinates):
As: 0.500 0.000 0.000
As: 0.000 0.500 0.000
Ag: 0.500 0.500 0.500
Br: 0.000 0.000 0.500
Os: 0.000 0.000 0.000

=====

# 2
PrOF | PBE | optimized geometry

Values from the calculation:
Crystal system: trigonal
DFT total energy, eV per atom: -7.628

Cell: 7.087 7.087 7.087 Å, 32.97 32.97 32.97°
Atoms (fractional coordinates):
O: 0.878 0.878 0.878
O: 0.122 0.122 0.122
F: 0.370 0.370 0.370
F: 0.630 0.630 0.630
Pr: 0.241 0.241 0.241
Pr: 0.759 0.759 0.759

=====

# 3
Zr6In2Hg | PBE | optimized geometry

Values from the calculation:
Crystal system: tetragonal
Formation enthalpy at 0 K, eV per atom: -0.20

Cell: 4.470 9.552 9.552 Å, 90.00 90.00 90.00°
Atoms (fractional coordinates):
Zr: 0.000 0.668 0.504
Zr: 0.000 0.655 0.845
Zr: 0.500 0.155 0.655
Zr: 0.000 0.004 0.168
Zr: 0.500 0.504 0.332
Zr: 0.000 0.996 0.832
Zr: 0.500 0.832 0.004
Zr: 0.500 0.496 0.668
Zr: 0.500 0.168 0.996
Zr: 0.000 0.332 0.496
Zr: 0.500 0.845 0.345
Zr: 0.000 0.345 0.155
In: 0.000 0.320 0.820
In: 0.500 0.180 0.320
In: 0.500 0.820 0.680
In: 0.000 0.680 0.180
Hg: 0.500 0.500 0.000
Hg: 0.000 0.000 0.500